## Ca2CeN2 (PBE)

Data for an optimized crystal structure of Ca2CeN2.

Output
ΔE_f (raw): -1.0476 eV per atom

a b c (Å): 3.5945 3.5965 9.3919
angles (deg): 89.87 78.97 60.02
Last column: nearest neighbours and their distance in Å.
Fractional coordinates of all 5 atoms:
Ca: 0.5352 0.7342 0.1954  3 N 2.51
Ca: 0.4648 0.2658 0.8046  3 N 2.51
Ce: 0.0000 0.5000 0.5000  6 N 2.49
N: 0.2340 0.8821 0.6499  3 Ce 2.49, 3 Ca 2.51
N: 0.7660 0.1179 0.3501  3 Ce 2.49, 3 Ca 2.51